Crystalline CeTmSe2O at its relaxed geometry. Source: Alexandria via LeMat-Bulk, functional PBE.

Properties
E_form (uncorrected) ... -12.0 eV/f.u.

abc: 3.988 3.988 14.216
angles: 90.00 90.00 90.00
Each line ends with the local moment (μB).
Positions (direct):
Ce 0.500 0.000 0.587  0.73
Ce 0.000 0.500 0.413  0.73
Tm 0.500 0.000 0.116  0.00
Tm 0.000 0.500 0.884  0.00
Se 0.000 0.500 0.695  -0.01
Se 0.000 0.500 0.093  0.00
Se 0.500 0.000 0.907  0.00
Se 0.500 0.000 0.305  -0.01
O 0.000 0.000 0.500  -0.03
O 0.500 0.500 0.500  -0.03

---

Crystalline AcPm2Ho7 at its relaxed geometry. Source: Alexandria via LeMat-Bulk, functional PBE.

Properties
ΔE to the lowest computed polymorph ... 361.1 meV/atom
Formation energy ... 677 meV per atom

abc: 5.648 9.217 9.217
angles: 123.66 90.00 90.00
Positions (direct):
Ac 0.000 0.000 0.000
Pm 0.500 0.702 0.298
Pm 0.500 0.298 0.702
Ho 0.000 0.777 0.223
Ho 0.000 0.223 0.777
Ho 0.500 0.061 0.294
Ho 0.500 0.939 0.706
Ho 0.500 0.294 0.061
Ho 0.500 0.706 0.939
Ho 0.500 0.500 0.500

---

Crystalline VOsCl3 at its relaxed geometry. Source: Alexandria via LeMat-Bulk, functional PBE.

Properties
ΔE to the lowest computed polymorph ... 0.0 meV/atom
E_form (uncorrected) ... 3.3 eV/f.u.

abc: 4.879 4.879 4.879
angles: 90.00 90.00 90.00
Each line ends with the local moment (μB).
Positions (direct):
V 0.000 0.000 0.000  2.42
Os 0.500 0.500 0.500  3.48
Cl 0.000 0.500 0.000  0.06
Cl 0.000 0.000 0.500  0.06
Cl 0.500 0.000 0.000  0.06

---

Crystalline Ga3GeAu at its relaxed geometry. Source: Alexandria via LeMat-Bulk, functional PBE.

Properties
ΔE to the lowest computed polymorph ... 88.5 meV/atom
Formation energy ... 438 meV per atom

abc: 4.944 4.944 4.944
angles: 90.00 90.00 90.00
Positions (direct):
Ge 0.000 0.000 0.000
Au 0.500 0.500 0.500
Ga 0.000 0.500 0.000
Ga 0.000 0.000 0.500
Ga 0.500 0.000 0.000

---

Crystalline Y3CoSb at its relaxed geometry. Source: Alexandria via LeMat-Bulk, functional PBE.

Properties
ΔE to the lowest computed polymorph ... 0.0 meV/atom
E_form (uncorrected) ... -1.9 eV/f.u.

abc: 5.136 5.136 5.136
angles: 90.00 90.00 90.00
Positions (direct):
Y 0.000 0.500 0.000
Y 0.000 0.000 0.500
Y 0.500 0.000 0.000
Sb 0.500 0.500 0.500
Co 0.000 0.000 0.000

---

Crystalline LiCd14In at its relaxed geometry. Source: Alexandria via LeMat-Bulk, functional PBE.

Properties
Formation energy ... -30 meV per atom

abc: 6.421 6.421 8.711
angles: 90.00 90.00 90.00
Positions (direct):
Li 0.375 0.375 0.500
Cd 0.875 0.875 0.000
Cd 0.375 0.375 0.000
Cd 0.875 0.375 0.500
Cd 0.875 0.375 0.000
Cd 0.375 0.875 0.500
Cd 0.375 0.875 0.000
Cd 0.618 0.132 0.251
Cd 0.618 0.132 0.749
Cd 0.132 0.618 0.251
Cd 0.132 0.618 0.749
Cd 0.618 0.618 0.251
Cd 0.618 0.618 0.749
Cd 0.132 0.132 0.251
Cd 0.132 0.132 0.749
In 0.875 0.875 0.500

---

Crystalline Ho3ErIn4 at its relaxed geometry. Source: Alexandria via LeMat-Bulk, functional PBE.

Properties
ΔE to the lowest computed polymorph ... 0.0 meV/atom
Formation energy ... -451 meV per atom

abc: 3.743 3.743 14.974
angles: 90.00 90.00 90.00
Positions (direct):
In 0.000 0.000 0.876
In 0.000 0.000 0.124
In 0.000 0.000 0.374
In 0.000 0.000 0.626
Ho 0.500 0.500 0.249
Ho 0.500 0.500 0.500
Ho 0.500 0.500 0.751
Er 0.500 0.500 0.000

---

Crystalline CsZr2TaCu at its relaxed geometry. Source: Alexandria via LeMat-Bulk, functional PBE.

Properties
Formation energy ... 1709 meV per atom

abc: 5.065 5.206 5.065
angles: 90.00 90.00 90.00
Positions (direct):
Cs 0.000 0.500 0.000
Cu 0.000 0.000 0.000
Zr 0.000 0.000 0.500
Zr 0.500 0.000 0.000
Ta 0.500 0.500 0.500